## NbZnCdW2 (meta-GGA SCAN)

Data for NbZnCdW2 at its PBEsol-relaxed geometry.

Summary:
**Total magnetic moment**: 0.9 μB/f.u.
**SG**: P4/mmm
**Energy**: -41.0786 eV per atom

a = 4.717 Å, b = 4.717 Å, c = 5.215 Å
α = 90.00°, β = 90.00°, γ = 90.00°
Positions (direct):
Nb 0.000 0.000 0.000
Zn 0.500 0.500 0.500
Cd 0.000 0.000 0.500
W 0.000 0.500 0.000
W 0.500 0.000 0.000



## YNb2Cl (meta-GGA SCAN)

Data for YNb2Cl at its PBEsol-relaxed geometry.

Summary:
**Total magnetic moment**: 0.0 μB/f.u.
**ΔE_f (raw)**: 1.029 eV/atom
**SG**: Fm-3m
**Energy**: -24.4912 eV per atom

a = 4.744 Å, b = 4.744 Å, c = 4.744 Å
α = 60.00°, β = 60.00°, γ = 60.00°
Positions (direct):
Y 0.000 0.000 0.000
Nb 0.250 0.250 0.250
Nb 0.750 0.750 0.750
Cl 0.500 0.500 0.500



## Ca2CdBi (meta-GGA SCAN)

Data for Ca2CdBi at its PBEsol-relaxed geometry.

Summary:
**Total magnetic moment**: 0.0 μB/f.u.
**SG**: Fm-3m
**Energy**: -32.7229 eV per atom

a = 5.445 Å, b = 5.445 Å, c = 5.445 Å
α = 60.00°, β = 60.00°, γ = 60.00°
Positions (direct):
Ca 0.250 0.250 0.250
Ca 0.750 0.750 0.750
Cd 0.000 0.000 0.000
Bi 0.500 0.500 0.500



## NaSeBr2O (meta-GGA SCAN)

Data for NaSeBr2O at its PBEsol-relaxed geometry.

Summary:
**Total magnetic moment**: 5.0 μB/f.u.
**ΔE_f (raw)**: 0.562 eV/atom
**SG**: P4/mmm
**Energy**: -13.3265 eV per atom

a = 5.334 Å, b = 5.334 Å, c = 5.588 Å
α = 90.00°, β = 90.00°, γ = 90.00°
Positions (direct):
Na 0.000 0.000 0.000
Se 0.000 0.000 0.500
Br 0.000 0.500 0.000
Br 0.500 0.000 0.000
O 0.500 0.500 0.500



## KMnGa3 (meta-GGA SCAN)

Data for KMnGa3 at its PBEsol-relaxed geometry.

Summary:
**Total magnetic moment**: 0.9 μB/f.u.
**SG**: Pm-3m
**Energy**: -15.2705 eV per atom

a = 4.666 Å, b = 4.666 Å, c = 4.666 Å
α = 90.00°, β = 90.00°, γ = 90.00°
Positions (direct):
K 0.000 0.000 0.000
Mn 0.500 0.500 0.500
Ga 0.000 0.500 0.500
Ga 0.500 0.000 0.500
Ga 0.500 0.500 0.000



## NiTeAs2 (meta-GGA SCAN)

Data for NiTeAs2 at its PBEsol-relaxed geometry.

Summary:
**Total magnetic moment**: 0.0 μB/f.u.
**ΔE_f (raw)**: 0.487 eV/atom
**SG**: P4/mmm
**Energy**: -22.9649 eV per atom

a = 3.767 Å, b = 3.767 Å, c = 5.222 Å
α = 90.00°, β = 90.00°, γ = 90.00°
Positions (direct):
Ni 0.000 0.000 0.000
Te 0.500 0.500 0.000
As 0.000 0.500 0.500
As 0.500 0.000 0.500



## K2LiLaCl6 (meta-GGA SCAN)

Data for K2LiLaCl6 at its PBEsol-relaxed geometry.

Summary:
**Total magnetic moment**: 0.0 μB/f.u.
**ΔE_f (raw)**: -2.301 eV/atom
**SG**: Fm-3m
**Energy**: -13.3027 eV per atom

a = 7.384 Å, b = 7.384 Å, c = 7.384 Å
α = 60.00°, β = 60.00°, γ = 60.00°
Positions (direct):
K 0.250 0.250 0.250
K 0.750 0.750 0.750
Li 0.000 0.000 0.000
La 0.500 0.500 0.500
Cl 0.239 0.239 0.761
Cl 0.239 0.761 0.239
Cl 0.239 0.761 0.761
Cl 0.761 0.239 0.239
Cl 0.761 0.239 0.761
Cl 0.761 0.761 0.239



## TcOs2 (meta-GGA SCAN)

Data for TcOs2 at its PBEsol-relaxed geometry.

Summary:
**Total magnetic moment**: 0.0 μB/f.u.
**SG**: Cm
**Energy relative to the lowest polymorph listed for this composition**: 3.9 meV/atom
**Energy**: -59.7022 eV per atom

a = 5.107 Å, b = 5.107 Å, c = 6.405 Å
α = 103.19°, β = 103.19°, γ = 30.98°
Positions (direct):
Tc 0.000 0.000 0.000
Tc 0.667 0.667 0.334
Os 0.278 0.278 0.057
Os 0.334 0.334 0.667
Os 0.612 0.612 0.723
Os 0.945 0.945 0.389



## Li2ZnNi (meta-GGA SCAN)

Data for Li2ZnNi at its PBEsol-relaxed geometry.

Summary:
**Total magnetic moment**: 0.2 μB/f.u.
**SG**: R-3m
**Energy**: -8.6548 eV per atom

a = 8.886 Å, b = 8.886 Å, c = 8.886 Å
α = 16.53°, β = 16.53°, γ = 16.53°
Positions (direct):
Li 0.243 0.243 0.243
Li 0.757 0.757 0.757
Zn 0.000 0.000 0.000
Ni 0.500 0.500 0.500



## Tl2TePb (meta-GGA SCAN)

Data for Tl2TePb at its PBEsol-relaxed geometry.

Summary:
**Total magnetic moment**: 0.0 μB/f.u.
**ΔE_f (raw)**: -0.105 eV/atom
**SG**: Imm2
**Energy relative to the lowest polymorph listed for this composition**: 21.5 meV/atom
**Energy**: -64.5421 eV per atom

a = 6.222 Å, b = 6.222 Å, c = 6.222 Å
α = 138.79°, β = 130.01°, γ = 66.72°
Positions (direct):
Tl 0.000 0.000 0.000
Tl 0.739 0.239 0.500
Te 0.489 0.489 0.000
Pb 0.268 0.768 0.500



## NaSi2Ag2 (meta-GGA SCAN)

Data for NaSi2Ag2 at its PBEsol-relaxed geometry.

Summary:
**Total magnetic moment**: 0.0 μB/f.u.
**ΔE_f (raw)**: 0.258 eV/atom
**SG**: I4/mmm
**Energy relative to the lowest polymorph listed for this composition**: 188.9 meV/atom
**Energy**: -17.1382 eV per atom

a = 7.072 Å, b = 7.072 Å, c = 7.072 Å
α = 149.71°, β = 149.71°, γ = 43.36°
Positions (direct):
Na 0.000 0.000 0.000
Si 0.250 0.750 0.500
Si 0.750 0.250 0.500
Ag 0.394 0.394 0.000
Ag 0.606 0.606 0.000



## MgS2N2 (meta-GGA SCAN)

Data for MgS2N2 at its PBEsol-relaxed geometry.

Summary:
**Total magnetic moment**: 5.0 μB/f.u.
**ΔE_f (raw)**: 1.435 eV/atom
**SG**: P4/mmm
**Energy relative to the lowest polymorph listed for this composition**: 656.9 meV/atom
**Energy**: -7.1273 eV per atom

a = 3.908 Å, b = 3.908 Å, c = 5.346 Å
α = 90.00°, β = 90.00°, γ = 90.00°
Positions (direct):
Mg 0.000 0.000 0.000
S 0.000 0.000 0.500
S 0.500 0.500 0.500
N 0.000 0.500 0.000
N 0.500 0.000 0.000



## InH2S (meta-GGA SCAN)

Data for InH2S at its PBEsol-relaxed geometry.

Summary:
**Total magnetic moment**: 0.0 μB/f.u.
**SG**: Fd-3m
**Energy**: -12.1881 eV per atom

a = 5.330 Å, b = 5.330 Å, c = 5.330 Å
α = 60.00°, β = 60.00°, γ = 60.00°
Positions (direct):
In 0.125 0.125 0.125
In 0.875 0.875 0.875
H 0.000 0.500 0.500
H 0.500 0.000 0.500
H 0.500 0.500 0.000
H 0.500 0.500 0.500
S 0.375 0.375 0.375
S 0.625 0.625 0.625



## Ba2TaRh (meta-GGA SCAN)

Data for Ba2TaRh at its PBEsol-relaxed geometry.

Summary:
**Total magnetic moment**: 0.0 μB/f.u.
**SG**: Imm2
**Energy relative to the lowest polymorph listed for this composition**: 0.0 meV/atom
**Energy**: -44.5311 eV per atom

a = 6.660 Å, b = 6.660 Å, c = 6.660 Å
α = 147.25°, β = 130.20°, γ = 60.89°
Positions (direct):
Ba 0.000 0.000 0.000
Ba 0.709 0.209 0.500
Ta 0.404 0.404 0.000
Rh 0.273 0.773 0.500



## MgTaRu2 (meta-GGA SCAN)

Data for MgTaRu2 at its PBEsol-relaxed geometry.

Summary:
**Total magnetic moment**: 0.0 μB/f.u.
**SG**: P4/mmm
**Energy**: -35.7082 eV per atom

a = 4.361 Å, b = 4.361 Å, c = 3.128 Å
α = 90.00°, β = 90.00°, γ = 90.00°
Positions (direct):
Mg 0.000 0.000 0.000
Ta 0.500 0.500 0.000
Ru 0.000 0.500 0.500
Ru 0.500 0.000 0.500



## AgIrBr2 (meta-GGA SCAN)

Data for AgIrBr2 at its PBEsol-relaxed geometry.

Summary:
**Total magnetic moment**: 0.0 μB/f.u.
**ΔE_f (raw)**: 0.852 eV/atom
**SG**: P4/mmm
**Energy**: -34.4946 eV per atom

a = 4.759 Å, b = 4.759 Å, c = 3.214 Å
α = 90.00°, β = 90.00°, γ = 90.00°
Positions (direct):
Ag 0.000 0.000 0.000
Ir 0.500 0.500 0.000
Br 0.000 0.500 0.500
Br 0.500 0.000 0.500



## La2TaIn (meta-GGA SCAN)

Data for La2TaIn at its PBEsol-relaxed geometry.

Summary:
**Total magnetic moment**: 0.0 μB/f.u.
**SG**: P4/mmm
**Energy**: -46.3855 eV per atom

a = 4.725 Å, b = 4.725 Å, c = 4.574 Å
α = 90.00°, β = 90.00°, γ = 90.00°
Positions (direct):
La 0.000 0.500 0.000
La 0.500 0.000 0.000
Ta 0.000 0.000 0.500
In 0.500 0.500 0.500



## YCdRh (meta-GGA SCAN)

Data for YCdRh at its PBEsol-relaxed geometry.

Summary:
**Total magnetic moment**: 0.0 μB/f.u.
**SG**: F-43m
**Energy**: -30.7611 eV per atom

a = 4.578 Å, b = 4.578 Å, c = 4.578 Å
α = 60.00°, β = 60.00°, γ = 60.00°
Positions (direct):
Y 0.000 0.000 0.000
Cd 0.250 0.250 0.250
Rh 0.500 0.500 0.500



## SrYRe2 (meta-GGA SCAN)

Data for SrYRe2 at its PBEsol-relaxed geometry.

Summary:
**Total magnetic moment**: 0.0 μB/f.u.
**SG**: P2/m
**Energy relative to the lowest polymorph listed for this composition**: 0.0 meV/atom
**Energy**: -47.3917 eV per atom

a = 3.093 Å, b = 4.606 Å, c = 6.628 Å
α = 90.00°, β = 90.56°, γ = 90.00°
Positions (direct):
Sr 0.000 0.000 0.000
Y 0.000 0.000 0.500
Re 0.497 0.500 0.328
Re 0.503 0.500 0.672



## Sr2MnOs (meta-GGA SCAN)

Data for Sr2MnOs at its PBEsol-relaxed geometry.

Summary:
**Total magnetic moment**: 4.3 μB/f.u.
**SG**: R-3m
**Energy relative to the lowest polymorph listed for this composition**: 597.9 meV/atom
**Energy**: -32.6852 eV per atom

a = 10.206 Å, b = 10.206 Å, c = 10.206 Å
α = 18.76°, β = 18.76°, γ = 18.76°
Positions (direct):
Sr 0.241 0.241 0.241
Sr 0.759 0.759 0.759
Mn 0.000 0.000 0.000
Os 0.500 0.500 0.500